[1]
Crystalline Sc2CdIr at its relaxed geometry, computed with GGA-PBE.

Computed properties:
* energy: -24.30 eV for the cell shown
* total magnetization: 0.0 μB/cell
* calculated formation energy: -0.4663 eV per atom
* space group: Imm2 (44)

Unit cell a=6.0151 b=6.0151 c=6.0151 alpha=148.76 beta=133.94 gamma=56.71
With the nearest neighbours (Å) after each atom.
Sites, in units of the cell vectors:
Cd  0.4655  0.4655  0.0000  2 Ir 2.87, 4 Sc 2.97
Ir  0.2417  0.7417  0.5000  6 Sc 2.66-2.86, 2 Cd 2.87
Sc  0.0427  0.0427  0.0000  2 Ir 2.66, 4 Cd 2.97
Sc  0.7501  0.2501  0.5000  4 Ir 2.86

=====

[2]
Crystalline Sc2CdIr at its relaxed geometry, computed with GGA-PBE.

Computed properties:
* energy: -25.16 eV for the cell shown
* total magnetization: 0.0 μB/cell
* calculated formation energy: -0.6805 eV per atom
* space group: Pmmm (47)

Unit cell a=3.3504 b=3.2187 c=7.2238 alpha=90.00 beta=90.00 gamma=90.00
With the nearest neighbours (Å) after each atom.
Sites, in units of the cell vectors:
Sc  0.0000  0.0000  0.9677  4 Ir 2.81, 4 Cd 3.09
Sc  0.0000  0.0000  0.5323  4 Ir 2.81, 4 Cd 3.09
Ir  0.5000  0.5000  0.7500  8 Sc 2.81
Cd  0.5000  0.5000  0.2500  8 Sc 3.09, 4 Cd 3.22-3.35

=====

[3]
Crystalline ScCd3Ir at its relaxed geometry, computed with GGA-PBE.

Computed properties:
* energy: -10.03 eV for the cell shown
* total magnetization: 0.0 μB/cell
* calculated formation energy: 1.5813 eV per atom
* space group: Pm-3m (221)
* energy above the lowest structure with this stoichiometry: 1.1750 eV per atom

Unit cell a=5.2815 b=5.2815 c=5.2815 alpha=90.00 beta=90.00 gamma=90.00
With the nearest neighbours (Å) after each atom.
Sites, in units of the cell vectors:
Sc  0.0000  0.0000  0.0000  6 Cd 2.64
Ir  0.5000  0.5000  0.5000  12 Cd 3.73
Cd  0.0000  0.5000  0.0000  2 Sc 2.64
Cd  0.0000  0.0000  0.5000  2 Sc 2.64
Cd  0.5000  0.0000  0.0000  2 Sc 2.64

=====

[4]
Crystalline ScCdIr3 at its relaxed geometry, computed with GGA-PBE.

Computed properties:
* energy: -26.02 eV for the cell shown
* total magnetization: 0.0 μB/cell
* calculated formation energy: 1.5629 eV per atom
* space group: Pm-3m (221)
* energy above the lowest structure with this stoichiometry: 0.3088 eV per atom

Unit cell a=4.8119 b=4.8119 c=4.8119 alpha=90.00 beta=90.00 gamma=90.00
With the nearest neighbours (Å) after each atom.
Sites, in units of the cell vectors:
Sc  0.5000  0.5000  0.5000  12 Ir 3.40
Ir  0.0000  0.5000  0.0000  2 Cd 2.41
Ir  0.0000  0.0000  0.5000  2 Cd 2.41
Ir  0.5000  0.0000  0.0000  2 Cd 2.41
Cd  0.0000  0.0000  0.0000  6 Ir 2.41

=====

[5]
Crystalline SmScCdIr at its relaxed geometry, computed with GGA-PBE.

Computed properties:
* energy: -22.75 eV for the cell shown
* total magnetization: 0.0 μB/cell
* calculated formation energy: -0.4811 eV per atom
* space group: F-43m (216)

Unit cell a=4.9652 b=4.9652 c=4.9652 alpha=60.00 beta=60.00 gamma=60.00
With the nearest neighbours (Å) after each atom.
Sites, in units of the cell vectors:
Sc  0.0000  0.0000  0.0000  4 Ir 3.04, 4 Cd 3.04
Ir  0.2500  0.2500  0.2500  4 Sm 3.04, 4 Sc 3.04
Sm  0.5000  0.5000  0.5000  4 Cd 3.04, 4 Ir 3.04
Cd  0.7500  0.7500  0.7500  4 Sc 3.04, 4 Sm 3.04

=====

[6]
Crystalline ScTa2CdIr at its relaxed geometry, computed with GGA-PBE.

Computed properties:
* energy: -30.90 eV for the cell shown
* total magnetization: 0.0 μB/cell
* calculated formation energy: 1.7835 eV per atom
* space group: P4/mmm (123)

Unit cell a=4.9405 b=4.8814 c=4.9405 alpha=90.00 beta=90.00 gamma=90.00
With the nearest neighbours (Å) after each atom.
Sites, in units of the cell vectors:
Sc  0.5000  0.5000  0.5000  8 Ta 3.47, 4 Ir 3.49
Cd  0.0000  0.0000  0.0000  2 Ir 2.44, 4 Ta 2.47
Ir  0.0000  0.5000  0.0000  2 Cd 2.44
Ta  0.0000  0.0000  0.5000  2 Cd 2.47
Ta  0.5000  0.0000  0.0000  2 Cd 2.47

=====

[7]
Crystalline TbScCdIr at its relaxed geometry, computed with GGA-PBE.

Computed properties:
* energy: -22.89 eV for the cell shown
* total magnetization: 0.0 μB/cell
* calculated formation energy: -0.5387 eV per atom
* space group: F-43m (216)

Unit cell a=4.9160 b=4.9160 c=4.9160 alpha=60.00 beta=60.00 gamma=60.00
With the nearest neighbours (Å) after each atom.
Sites, in units of the cell vectors:
Sc  0.0000  0.0000  0.0000  4 Cd 3.01, 4 Ir 3.01
Ir  0.2500  0.2500  0.2500  4 Sc 3.01, 4 Tb 3.01
Tb  0.5000  0.5000  0.5000  4 Ir 3.01, 4 Cd 3.01
Cd  0.7500  0.7500  0.7500  4 Sc 3.01, 4 Tb 3.01

=====

[8]
Crystalline ScTlCd2Ir at its relaxed geometry, computed with GGA-PBE.

Computed properties:
* energy: -19.50 eV for the cell shown
* total magnetization: 0.0 μB/cell
* calculated formation energy: -0.0226 eV per atom
* space group: P4/mmm (123)

Unit cell a=5.3036 b=4.8437 c=5.3036 alpha=90.00 beta=90.00 gamma=90.00
With the nearest neighbours (Å) after each atom.
Sites, in units of the cell vectors:
Sc  0.0000  0.5000  0.0000  2 Ir 2.42
Tl  0.5000  0.5000  0.5000  8 Cd 3.59, 4 Sc 3.75
Ir  0.0000  0.0000  0.0000  2 Sc 2.42, 4 Cd 2.65
Cd  0.0000  0.0000  0.5000  2 Ir 2.65
Cd  0.5000  0.0000  0.0000  2 Ir 2.65

=====

[9]
Crystalline TmScCdIr at its relaxed geometry, computed with GGA-PBE.

Computed properties:
* energy: -22.91 eV for the cell shown
* total magnetization: 0.0 μB/cell
* calculated formation energy: -0.5826 eV per atom
* space group: F-43m (216)
* energy above the lowest structure with this stoichiometry: 0.0848 eV per atom

Unit cell a=4.8666 b=4.8666 c=4.8666 alpha=60.00 beta=60.00 gamma=60.00
With the nearest neighbours (Å) after each atom.
Sites, in units of the cell vectors:
Sc  0.0000  0.0000  0.0000  4 Cd 2.98, 4 Ir 2.98
Ir  0.2500  0.2500  0.2500  4 Sc 2.98, 4 Tm 2.98
Tm  0.5000  0.5000  0.5000  4 Cd 2.98, 4 Ir 2.98
Cd  0.7500  0.7500  0.7500  4 Sc 2.98, 4 Tm 2.98

=====

[10]
Crystalline TmScCdIr at its relaxed geometry, computed with GGA-PBE.

Computed properties:
* energy: -23.25 eV for the cell shown
* total magnetization: 0.0 μB/cell
* calculated formation energy: -0.6674 eV per atom
* space group: P4mm (99)
* energy above the lowest structure with this stoichiometry: 0.0000 eV per atom

Unit cell a=3.3994 b=3.3994 c=7.2476 alpha=90.00 beta=90.00 gamma=90.00
With the nearest neighbours (Å) after each atom.
Sites, in units of the cell vectors:
Tm  0.5000  0.5000  0.7867  4 Ir 2.93, 1 Sc 3.13, 4 Cd 3.25
Sc  0.5000  0.5000  0.3544  4 Ir 2.81, 4 Cd 3.08, 1 Tm 3.13
Cd  0.0000  0.0000  0.0885  4 Sc 3.08, 4 Tm 3.25, 1 Ir 3.38, 4 Cd 3.40
Ir  0.0000  0.0000  0.5551  4 Sc 2.81, 4 Tm 2.93

=====

[11]
Crystalline Y2ScCdIr at its relaxed geometry, computed with GGA-PBE.

Computed properties:
* energy: -26.34 eV for the cell shown
* total magnetization: 0.0 μB/cell
* calculated formation energy: 0.5400 eV per atom
* space group: P4/mmm (123)

Unit cell a=5.5345 b=4.6334 c=5.5345 alpha=90.00 beta=90.00 gamma=90.00
With the nearest neighbours (Å) after each atom.
Sites, in units of the cell vectors:
Y  0.0000  0.0000  0.5000  2 Sc 2.77
Y  0.5000  0.0000  0.0000  2 Sc 2.77
Sc  0.0000  0.0000  0.0000  2 Ir 2.32
Ir  0.0000  0.5000  0.0000  2 Sc 2.32
Cd  0.5000  0.5000  0.5000  8 Y 3.61, 4 Ir 3.91

=====

[12]
Crystalline ZrScCdIr at its relaxed geometry, computed with GGA-PBE.

Computed properties:
* energy: -26.59 eV for the cell shown
* total magnetization: 0.0 μB/cell
* calculated formation energy: -0.4831 eV per atom
* space group: F-43m (216)

Unit cell a=4.7879 b=4.7879 c=4.7879 alpha=60.00 beta=60.00 gamma=60.00
With the nearest neighbours (Å) after each atom.
Sites, in units of the cell vectors:
Sc  0.0000  0.0000  0.0000  4 Ir 2.93, 4 Cd 2.93
Ir  0.2500  0.2500  0.2500  4 Zr 2.93, 4 Sc 2.93
Zr  0.5000  0.5000  0.5000  4 Cd 2.93, 4 Ir 2.93
Cd  0.7500  0.7500  0.7500  4 Zr 2.93, 4 Sc 2.93

=====

Sequential volume output: 20.18 19.47 29.46 22.28 21.64 23.83 21.00 27.25 20.38 20.94 28.38 19.40 Å³/atom